First-principles (PBE with a Hubbard U) data for crystalline NpCrCu2O8 at its relaxed geometry, as listed in the Alexandria database.

Lattice parameters (Å, degrees): 5.7606 5.7606 5.7606 113.41 113.41 101.85
Each line ends with the local moment (μB).
Fractional positions:
Cu: 0.5000 0.5000 0.0000  0.64
Cu: 0.7500 0.2500 0.5000  0.28
O: 0.9396 0.2348 0.2952  0.06
O: 0.3556 0.0604 0.2952  0.06
O: 0.7652 0.0604 0.7048  0.06
O: 0.9077 0.6847 0.2230  0.32
O: 0.3153 0.5382 0.2230  0.32
O: 0.3153 0.0923 0.7770  0.32
O: 0.4618 0.6847 0.7770  0.32
O: 0.9396 0.6444 0.7048  0.06
Np: 0.0000 0.0000 0.0000  -0.05
Cr: 0.2500 0.7500 0.5000  -1.72

Properties
The calculation puts the raw total energy at -6.90 eV/atom.


First-principles (PBE with a Hubbard U) data for crystalline NpCrCuO5 at its relaxed geometry, as listed in the Alexandria database.

Lattice parameters (Å, degrees): 5.6198 5.6198 7.9808 106.17 106.17 108.36
Each line ends with the local moment (μB).
Fractional positions:
Cr: 0.3495 0.6505 0.2500  3.08
Cr: 0.6505 0.3495 0.7500  3.08
O: 0.0091 0.6670 0.8215  -0.09
O: 0.3639 0.3164 0.0729  -0.11
O: 0.1327 0.8673 0.2500  -0.10
O: 0.3164 0.3639 0.5729  -0.11
O: 0.3330 0.9909 0.6785  -0.09
O: 0.6361 0.6836 0.9271  -0.11
O: 0.6670 0.0091 0.3215  -0.09
O: 0.9909 0.3330 0.1785  -0.09
O: 0.6836 0.6361 0.4271  -0.11
O: 0.8673 0.1327 0.7500  -0.10
Np: 0.0000 0.0000 0.0000  1.50
Np: 0.0000 0.0000 0.5000  1.50
Cu: 0.3139 0.6861 0.7500  -0.20
Cu: 0.6861 0.3139 0.2500  -0.20

Properties
The calculation puts the raw total energy at -8.01 eV/atom.


- Look up the raw total energy of the second one.
  -8.01 eV/atom